{
  "formula": "Cs2LiS2O6",
  "functional": "PBE",
  "state": "relaxed",
  "lattice": [[-0.979, 1.587, 5.762], [-5.537, -0.545, 2.392], [-0.759, -5.672, 4.615]],
  "species": ["Cs", "Cs", "Li", "S", "S", "O", "O", "O", "O", "O", "O"],
  "fractional_positions": [[0.767, 0.767, 0.699], [0.233, 0.233, 0.301], [0.000, 0.000, 0.000], [0.423, 0.423, 0.732], [0.577, 0.577, 0.268], [0.740, 0.740, 0.191], [0.329, 0.740, 0.191], [0.740, 0.329, 0.191], [0.260, 0.671, 0.809], [0.671, 0.260, 0.809], [0.260, 0.260, 0.809]],
  "density_g_cm3": 3.50,
  "total_energy_ev_per_atom": -5.337,
  "magmom_total_mub_per_cell": 0.896,
  "formation_energy_uncorrected_ev_per_fu": -17.08
}


{
  "formula": "LiEuInAg",
  "functional": "PBE",
  "state": "relaxed",
  "lattice": [[5.064, 0.000, 0.000], [2.532, 4.386, 0.000], [2.532, 1.462, 4.135]],
  "species": ["Eu", "Li", "Ag", "In"],
  "fractional_positions": [[0.000, 0.000, 0.000], [0.750, 0.750, 0.750], [0.250, 0.250, 0.250], [0.500, 0.500, 0.500]],
  "density_g_cm3": 6.90,
  "total_energy_ev_per_atom": -4.727,
  "magmom_total_mub_per_cell": 7.017
}


{
  "formula": "Cd8Ag6Pd",
  "functional": "PBE",
  "state": "relaxed",
  "lattice": [[1.355, -6.338, -3.203], [5.913, 0.740, -4.093], [5.541, -3.138, 3.423]],
  "species": ["Cd", "Cd", "Cd", "Cd", "Cd", "Cd", "Cd", "Cd", "Ag", "Ag", "Ag", "Ag", "Ag", "Ag", "Pd"],
  "fractional_positions": [[0.314, 0.314, 0.314], [0.686, 0.686, 0.686], [0.177, 0.344, 0.900], [0.900, 0.177, 0.344], [0.344, 0.900, 0.177], [0.823, 0.656, 0.100], [0.100, 0.823, 0.656], [0.656, 0.100, 0.823], [0.689, 0.363, 0.031], [0.031, 0.689, 0.363], [0.363, 0.031, 0.689], [0.311, 0.637, 0.969], [0.969, 0.311, 0.637], [0.637, 0.969, 0.311], [0.000, 0.000, 0.000]],
  "density_g_cm3": 8.30,
  "total_energy_ev_per_atom": -1.981,
  "magmom_total_mub_per_cell": 0.000,
  "relative_energy_mev_per_atom": 27
}


{
  "formula": "Li2CeMg2Bi2",
  "functional": "PBE",
  "state": "relaxed",
  "lattice": [[-3.768, 2.529, -1.398], [-4.209, -0.651, 2.100], [-0.645, 6.940, 6.228]],
  "species": ["Li", "Li", "Ce", "Mg", "Mg", "Bi", "Bi"],
  "fractional_positions": [[0.565, 0.565, 0.305], [0.435, 0.435, 0.695], [0.000, 0.000, 0.000], [0.141, 0.141, 0.576], [0.859, 0.859, 0.424], [0.734, 0.734, 0.798], [0.266, 0.266, 0.202]],
  "density_g_cm3": 5.90,
  "total_energy_ev_per_atom": -3.286,
  "magmom_total_mub_per_cell": 1.174
}


{
  "formula": "Sc2NbB2",
  "functional": "PBE",
  "state": "relaxed",
  "lattice": [[-5.403, 2.992, -0.815], [-0.190, -1.954, -5.912], [-1.826, -3.011, 1.054]],
  "species": ["Sc", "Sc", "Sc", "Sc", "Nb", "Nb", "B", "B", "B", "B"],
  "fractional_positions": [[0.181, 0.681, 0.500], [0.681, 0.819, 0.500], [0.819, 0.319, 0.500], [0.319, 0.181, 0.500], [0.000, 0.000, 0.000], [0.500, 0.500, 0.000], [0.402, 0.902, 0.000], [0.902, 0.598, 0.000], [0.598, 0.098, 0.000], [0.098, 0.402, 0.000]],
  "density_g_cm3": 4.76,
  "total_energy_ev_per_atom": -7.471,
  "magmom_total_mub_per_cell": 0.000
}


{
  "formula": "PmEr2Hg8",
  "functional": "PBE",
  "state": "relaxed",
  "lattice": [[4.857, 0.000, -1.475], [-0.922, 6.824, -3.035], [-0.065, -0.368, 8.523]],
  "species": ["Pm", "Er", "Er", "Hg", "Hg", "Hg", "Hg", "Hg", "Hg", "Hg", "Hg"],
  "fractional_positions": [[0.500, 0.000, 0.000], [0.194, 0.694, 0.388], [0.806, 0.306, 0.612], [0.650, 0.859, 0.300], [0.350, 0.560, 0.700], [0.156, 0.156, 0.312], [0.000, 0.296, 0.000], [0.844, 0.844, 0.688], [0.650, 0.440, 0.300], [0.350, 0.141, 0.700], [0.000, 0.704, 0.000]],
  "density_g_cm3": 12.54,
  "total_energy_ev_per_atom": -1.779,
  "magmom_total_mub_per_cell": 0.000,
  "relative_energy_mev_per_atom": 15
}


{
  "formula": "KTiAl",
  "functional": "PBE",
  "state": "relaxed",
  "lattice": [[9.307, 0.000, 0.000], [0.000, 2.993, 0.000], [0.000, 0.000, 11.303]],
  "species": ["K", "K", "K", "K", "Al", "Al", "Al", "Al", "Ti", "Ti", "Ti", "Ti"],
  "fractional_positions": [[0.058, 0.250, 0.848], [0.442, 0.750, 0.348], [0.942, 0.750, 0.152], [0.558, 0.250, 0.652], [0.781, 0.250, 0.393], [0.719, 0.750, 0.893], [0.219, 0.750, 0.607], [0.281, 0.250, 0.107], [0.085, 0.250, 0.433], [0.415, 0.750, 0.933], [0.915, 0.750, 0.567], [0.585, 0.250, 0.067]],
  "density_g_cm3": 2.40,
  "total_energy_ev_per_atom": -3.799,
  "magmom_total_mub_per_cell": 0.000,
  "relative_energy_mev_per_atom": 375
}


{
  "formula": "SrZnRu4",
  "functional": "PBE",
  "state": "relaxed",
  "lattice": [[-4.355, -1.746, 2.481], [-4.750, 2.015, -1.242], [-3.538, -2.965, -2.619]],
  "species": ["Sr", "Zn", "Ru", "Ru", "Ru", "Ru"],
  "fractional_positions": [[0.750, 0.750, 0.750], [0.000, 0.000, 0.000], [0.374, 0.878, 0.374], [0.878, 0.374, 0.374], [0.374, 0.374, 0.878], [0.374, 0.374, 0.374]],
  "density_g_cm3": 8.75,
  "total_energy_ev_per_atom": -6.227,
  "magmom_total_mub_per_cell": 2.695
}